[1]
This record from the Alexandria database describes crystalline Li4Mg9Pd at its relaxed geometry. The functional is PBE.

Properties
DOS at the Fermi energy in states/eV per cell: 14.25
Final energy in eV per formula unit: -29.12

abc: 8.7739 8.7739 8.7320
angles: 90.00 90.00 120.00
Space group P6_3/mmc (No. 194)
Asymmetric unit:
Li 0.0000 0.0000 0.0000
Li 0.1123 0.2247 0.2500
Mg 0.0717 0.5358 0.2500
Mg 0.2028 0.4056 0.5501
Pd 0.3333 0.6667 0.7500

[2]
This record from the Alexandria database describes crystalline Li4MgPd3 at its relaxed geometry. The functional is PBE.

Properties
DOS at the Fermi energy in states/eV per cell: 3.28
Final energy in eV per formula unit: -28.42

abc: 18.1807 3.0053 4.4305
angles: 90.00 103.16 90.00
Space group C2/m (No. 12)
Asymmetric unit:
Li 0.1186 0.0000 0.1166
Li 0.2446 0.5000 0.2456
Mg 0.0000 0.0000 0.5000
Pd 0.0000 0.5000 0.0000
Pd 0.1321 0.5000 0.6304

[3]
This record from the Alexandria database describes crystalline Li3Mg3Pd2 at its relaxed geometry. The functional is PBE.

Properties
DOS at the Fermi energy in states/eV per cell: 2.75
Final energy in eV per formula unit: -24.00

abc: 7.4952 7.4952 2.9986
angles: 90.00 90.00 120.00
Space group P-62m (No. 189)
Asymmetric unit:
Li 0.0000 0.7614 0.0000
Mg 0.0000 0.4146 0.5000
Pd 0.3333 0.6667 0.0000

[4]
This record from the Alexandria database describes crystalline Li6MgPd2 at its relaxed geometry. The functional is PBE.

Properties
DOS at the Fermi energy in states/eV per cell: 4.02
Final energy in eV per formula unit: -25.47

abc: 13.3904 7.7637 2.7345
angles: 90.00 90.48 90.00
Space group Cm (No. 8)
Asymmetric unit:
Li 0.0000 0.1523 0.0000
Li 0.1738 0.3261 0.0032
Li 0.3262 0.1739 0.9912
Mg 0.0000 0.5000 0.4980
Pd 0.1668 0.0000 0.4986
Pd 0.3332 0.5000 0.4976

[5]
This record from the Alexandria database describes crystalline Li3MgPd3 at its relaxed geometry. The functional is PBE.

Properties
DOS at the Fermi energy in states/eV per cell: 11.15
Final energy in eV per formula unit: -24.93

abc: 6.6578 6.6578 17.9627
angles: 90.00 90.00 120.00
Space group R-3 (No. 148, hexagonal axes)
Asymmetric unit:
Li 0.0402 0.6084 0.3761
Mg 0.0000 0.0000 0.1585
Pd 0.0071 0.7589 0.5618

[6]
This record from the Alexandria database describes crystalline Li2Mg3Pd2 at its relaxed geometry. The functional is PBE.

Properties
DOS at the Fermi energy in states/eV per cell: 5.05
Final energy in eV per formula unit: -21.89

abc: 9.6777 4.4403 5.4276
angles: 90.00 97.02 90.00
Space group C2/m (No. 12)
Asymmetric unit:
Li 0.1303 0.0000 0.0357
Mg 0.0000 0.0000 0.5000
Mg 0.1910 0.5000 0.3190
Pd 0.0945 0.5000 0.7823

[7]
This record from the Alexandria database describes crystalline LiMg3Pd2 at its relaxed geometry. The functional is PBE.

Properties
DOS at the Fermi energy in states/eV per cell: 3.83
Final energy in eV per formula unit: -20.47

abc: 4.5347 4.5347 11.2480
angles: 90.00 90.00 120.00
Space group P-3m1 (No. 164)
Asymmetric unit:
Li 0.3333 0.6667 0.1703
Mg 0.0000 0.0000 0.2560
Mg 0.3333 0.6667 0.4227
Mg 0.3333 0.6667 0.9164
Pd 0.0000 0.0000 0.0000
Pd 0.0000 0.0000 0.5000
Pd 0.3333 0.6667 0.6698

[8]
This record from the Alexandria database describes crystalline Li23Mg6Pd at its relaxed geometry. The functional is PBE.

Properties
DOS at the Fermi energy in states/eV per cell: 57.62
Final energy in eV per formula unit: -59.37

abc: 13.2583 13.2583 13.2583
angles: 90.00 90.00 90.00
Space group Fm-3m (No. 225)
Asymmetric unit:
Li 0.0000 0.0000 0.0000
Li 0.0000 0.2500 0.2500
Li 0.1173 0.1173 0.1173
Li 0.1593 0.1593 0.3407
Mg 0.0000 0.0000 0.2945
Pd 0.0000 0.0000 0.5000

[9]
This record from the Alexandria database describes crystalline Li3MgPd3 at its relaxed geometry. The functional is PBE.

Properties
DOS at the Fermi energy in states/eV per cell: 5.66
Final energy in eV per formula unit: -26.07

abc: 8.4564 8.7520 5.9708
angles: 90.00 90.00 90.00
Space group Cmmm (No. 65)
Asymmetric unit:
Li 0.0000 0.2420 0.0000
Li 0.0000 0.2536 0.5000
Li 0.2373 0.5000 0.5000
Mg 0.2402 0.5000 0.0000
Pd 0.0000 0.0000 0.2603
Pd 0.2500 0.2500 0.2552

[10]
This record from the Alexandria database describes crystalline LiMgPd at its relaxed geometry. The functional is PBE.

Properties
DOS at the Fermi energy in states/eV per cell: 1.32
Final energy in eV per formula unit: -10.08

abc: 4.3448 4.3448 2.8993
angles: 90.00 90.00 120.00
Space group P3m1 (No. 156)
Asymmetric unit:
Li 0.0000 0.0000 0.0000
Mg 0.6667 0.3333 0.3694
Pd 0.3333 0.6667 0.7819

[11]
This record from the Alexandria database describes crystalline LiMg2Pd7 at its relaxed geometry. The functional is PBE.

Properties
DOS at the Fermi energy in states/eV per cell: 10.79
Final energy in eV per formula unit: -42.33

abc: 8.4010 15.2095 2.7701
angles: 90.00 90.00 90.00
Space group Cmmm (No. 65)
Asymmetric unit:
Li 0.0000 0.0000 0.0000
Mg 0.0000 0.3246 0.5000
Pd 0.0000 0.1799 0.0000
Pd 0.0000 0.5000 0.5000
Pd 0.2255 0.0914 0.5000

[12]
This record from the Alexandria database describes crystalline LiMg3Pd at its relaxed geometry. The functional is PBE.

Properties
DOS at the Fermi energy in states/eV per cell: 9.20
Final energy in eV per formula unit: -13.26

abc: 7.1168 6.4698 9.3551
angles: 90.00 108.29 90.00
Space group P2_1/c (No. 14)
Asymmetric unit:
Li 0.0253 0.2500 0.0059
Mg 0.0036 0.5041 0.2510
Mg 0.3614 0.0040 0.5909
Mg 0.3627 0.0057 0.0925
Pd 0.3120 0.2502 0.3301

[13]
This record from the Alexandria database describes crystalline LiMgPd6 at its relaxed geometry. The functional is PBE.

Properties
DOS at the Fermi energy in states/eV per cell: 10.52
Final energy in eV per formula unit: -36.64

abc: 5.0405 5.0617 5.0649
angles: 94.33 94.31 94.41
Space group P-1 (No. 2)
Asymmetric unit:
Li 0.0000 0.0000 0.0000
Mg 0.5000 0.5000 0.5000
Pd 0.0413 0.4467 0.7504
Pd 0.2497 0.9563 0.5553
Pd 0.4471 0.7502 0.0421

[14]
This record from the Alexandria database describes crystalline Li3Mg2Pd4 at its relaxed geometry. The functional is PBE.

Properties
DOS at the Fermi energy in states/eV per cell: 5.09
Final energy in eV per formula unit: -34.57

abc: 7.5370 4.3472 8.2971
angles: 90.00 90.10 90.00
Space group C2/m (No. 12)
Asymmetric unit:
Li 0.0000 0.0000 0.0000
Li 0.1662 0.5000 0.5634
Mg 0.1671 0.5000 0.2161
Pd 0.0006 0.0000 0.3325
Pd 0.1664 0.5000 0.8925

[15]
This record from the Alexandria database describes crystalline LiMg3Pd4 at its relaxed geometry. The functional is PBE.

Properties
DOS at the Fermi energy in states/eV per cell: 2.93
Final energy in eV per formula unit: -32.90

abc: 6.7028 6.0808 6.9433
angles: 90.00 118.83 90.00
Space group C2/m (No. 12)
Asymmetric unit:
Li 0.0000 0.0000 0.0000
Mg 0.0000 0.5000 0.0000
Mg 0.2458 0.0000 0.4932
Pd 0.1269 0.2502 0.7537

[16]
This record from the Alexandria database describes crystalline Li12Mg7Pd at its relaxed geometry. The functional is PBE.

Properties
DOS at the Fermi energy in states/eV per cell: 24.26
Final energy in eV per formula unit: -40.53

abc: 10.8213 10.8213 11.7626
angles: 90.00 90.00 120.00
Space group R-3 (No. 148, hexagonal axes)
Asymmetric unit:
Li 0.0476 0.5888 0.2059
Li 0.0559 0.4609 0.5871
Mg 0.0000 0.0000 0.0000
Mg 0.0481 0.8671 0.3046
Pd 0.0000 0.0000 0.5000

[17]
This record from the Alexandria database describes crystalline Li2Mg2Pd at its relaxed geometry. The functional is PBE.

Properties
DOS at the Fermi energy in states/eV per cell: 4.71
Final energy in eV per formula unit: -12.82

abc: 3.3991 3.3991 15.9792
angles: 90.00 90.00 90.00
Space group I4/mmm (No. 139)
Asymmetric unit:
Li 0.0000 0.5000 0.2500
Mg 0.0000 0.0000 0.0926
Pd 0.0000 0.0000 0.5000

[18]
This record from the Alexandria database describes crystalline Li2Mg2Pd at its relaxed geometry. The functional is PBE.

Properties
DOS at the Fermi energy in states/eV per cell: 6.46
Final energy in eV per formula unit: -13.99

abc: 4.5628 4.5628 14.5407
angles: 90.00 90.00 120.00
Space group R-3m (No. 166, hexagonal axes)
Asymmetric unit:
Li 0.0000 0.0000 0.1887
Mg 0.0000 0.0000 0.3897
Pd 0.0000 0.0000 0.0000

[19]
This record from the Alexandria database describes crystalline LiMg2Pd2 at its relaxed geometry. The functional is PBE.

Properties
DOS at the Fermi energy in states/eV per cell: 2.63
Final energy in eV per formula unit: -16.96

abc: 4.1719 4.1719 11.5781
angles: 90.00 90.00 90.00
Space group I4/mmm (No. 139)
Asymmetric unit:
Li 0.0000 0.0000 0.0000
Mg 0.0000 0.5000 0.2500
Pd 0.0000 0.0000 0.3880

[20]
This record from the Alexandria database describes crystalline LiMgPd3 at its relaxed geometry. The functional is PBE.

Properties
DOS at the Fermi energy in states/eV per cell: 2.33
Final energy in eV per formula unit: -21.52

abc: 4.3597 4.3576 8.0990
angles: 90.00 105.50 90.00
Space group Cm (No. 8)
Asymmetric unit:
Li 0.0000 0.0000 0.0000
Mg 0.2001 0.0000 0.3992
Pd 0.0968 0.5000 0.1929
Pd 0.2991 0.5000 0.5984
Pd 0.4129 0.0000 0.8257

no.,magnetic moment (μB per formula unit)
1,0.000
2,0.000
3,0.000
4,0.000
5,0.000
6,0.000
7,0.000
8,0.000
9,0.000
10,0.000
11,0.000
12,0.000
13,0.000
14,0.000
15,0.000
16,0.000
17,0.000
18,0.000
19,0.000
20,0.000